Entry 1:
Here is RbInS2N after structural relaxation from Alexandria. Energies are from PBE.

Summary:
M_tot in μB/f.u.: 3.00
Relative energy among the computed polymorphs in kJ per mole of atoms: 0.0
Raw formation energy in kJ per mole of atoms: 31.96

Cell: 5.3684 5.3684 4.5178 Å, 90.00 90.00 90.00°
With the nearest neighbours (Å) after each atom.
Sites, in units of the cell vectors:
S 0.5000 0.0000 0.0000  2 In 2.68
S 0.0000 0.5000 0.0000  2 In 2.68
Rb 0.5000 0.5000 0.5000  8 S 3.51, 4 N 3.80
N 0.0000 0.0000 0.5000  2 In 2.26
In 0.0000 0.0000 0.0000  2 N 2.26

***

Entry 2:
Here is RbInSeN2 after structural relaxation from Alexandria. Energies are from PBE.

Summary:
M_tot in μB/f.u.: 4.02
Relative energy among the computed polymorphs in kJ per mole of atoms: 0.0
Raw formation energy in kJ per mole of atoms: 92.20

Cell: 4.7112 4.7112 5.5730 Å, 90.00 90.00 90.00°
With the nearest neighbours (Å) after each atom.
Sites, in units of the cell vectors:
N 0.5000 0.0000 0.0000  2 In 2.36
N 0.0000 0.5000 0.0000  2 In 2.36
In 0.0000 0.0000 0.0000  4 N 2.36
Rb 0.5000 0.5000 0.5000  4 Se 3.33, 8 N 3.65
Se 0.0000 0.0000 0.5000  2 In 2.79

***

Entry 3:
Here is RbInSeN2 after structural relaxation from Alexandria. Energies are from PBE.

Summary:
M_tot in μB/f.u.: 5.99
Relative energy among the computed polymorphs in kJ per mole of atoms: 88.9
Raw formation energy in kJ per mole of atoms: 181.10

Cell: 5.2533 5.2533 6.6953 Å, 90.00 90.00 90.00°
With the nearest neighbours (Å) after each atom.
Sites, in units of the cell vectors:
In 0.5000 0.5000 0.5000  4 Se 3.71
Rb 0.0000 0.0000 0.0000  4 N 2.63
Se 0.0000 0.0000 0.5000  2 Rb 3.35, 4 In 3.71
N 0.5000 0.0000 0.0000  2 Rb 2.63
N 0.0000 0.5000 0.0000  2 Rb 2.63

***

Entry 4:
Here is RbInTe2N after structural relaxation from Alexandria. Energies are from PBE.

Summary:
M_tot in μB/f.u.: 5.04
Relative energy among the computed polymorphs in kJ per mole of atoms: 84.5
Raw formation energy in kJ per mole of atoms: 120.55

Cell: 6.6809 6.6809 5.3634 Å, 90.00 90.00 90.00°
With the nearest neighbours (Å) after each atom.
Sites, in units of the cell vectors:
In 0.5000 0.5000 0.5000  8 Te 4.28, 4 N 4.72
N 0.0000 0.0000 0.5000  2 Rb 2.68
Rb 0.0000 0.0000 0.0000  2 N 2.68
Te 0.5000 0.0000 0.0000  2 Rb 3.34
Te 0.0000 0.5000 0.0000  2 Rb 3.34

***

Entry 5:
Here is RbInTeN2 after structural relaxation from Alexandria. Energies are from PBE.

Summary:
M_tot in μB/f.u.: 5.38
Relative energy among the computed polymorphs in kJ per mole of atoms: 71.6
Raw formation energy in kJ per mole of atoms: 177.77

Cell: 5.2115 5.2115 7.3701 Å, 90.00 90.00 90.00°
With the nearest neighbours (Å) after each atom.
Sites, in units of the cell vectors:
Rb 0.0000 0.0000 0.0000  4 N 2.61
Te 0.0000 0.0000 0.5000  2 Rb 3.69, 4 In 3.69
N 0.0000 0.5000 0.0000  2 Rb 2.61
N 0.5000 0.0000 0.0000  2 Rb 2.61
In 0.5000 0.5000 0.5000  4 Te 3.69

***

Entry 6:
Here is RbInTeN2 after structural relaxation from Alexandria. Energies are from PBE.

Summary:
M_tot in μB/f.u.: 4.05
Relative energy among the computed polymorphs in kJ per mole of atoms: 0.0
Raw formation energy in kJ per mole of atoms: 106.22

Cell: 4.8693 4.8693 5.8961 Å, 90.00 90.00 90.00°
With the nearest neighbours (Å) after each atom.
Sites, in units of the cell vectors:
In 0.0000 0.0000 0.0000  4 N 2.43
N 0.5000 0.0000 0.0000  2 In 2.43
N 0.0000 0.5000 0.0000  2 In 2.43
Te 0.0000 0.0000 0.5000  2 In 2.95
Rb 0.5000 0.5000 0.5000  4 Te 3.44, 8 N 3.82

***

Entry 7:
Here is RbInTe2N after structural relaxation from Alexandria. Energies are from PBE.

Summary:
M_tot in μB/f.u.: 1.99
Relative energy among the computed polymorphs in kJ per mole of atoms: 0.0
Raw formation energy in kJ per mole of atoms: 36.01

Cell: 6.2964 6.2964 4.0822 Å, 90.00 90.00 90.00°
With the nearest neighbours (Å) after each atom.
Sites, in units of the cell vectors:
In 0.0000 0.0000 0.0000  2 N 2.04
N 0.0000 0.0000 0.5000  2 In 2.04
Te 0.5000 0.0000 0.0000  2 In 3.15
Te 0.0000 0.5000 0.0000  2 In 3.15
Rb 0.5000 0.5000 0.5000  8 Te 3.75, 2 Rb 4.08

***

Entry 8:
Here is RbVIn2N after structural relaxation from Alexandria. Energies are from PBE.

Summary:
M_tot in μB/f.u.: 0.72
Raw formation energy in kJ per mole of atoms: 121.85

Cell: 4.7228 5.3809 4.7228 Å, 90.00 90.00 90.00°
With the nearest neighbours (Å) after each atom.
Sites, in units of the cell vectors:
In 0.0000 0.0000 0.5000  2 N 2.36
In 0.5000 0.0000 0.0000  2 N 2.36
N 0.0000 0.0000 0.0000  4 In 2.36
V 0.5000 0.5000 0.5000  4 Rb 3.34, 8 In 3.58
Rb 0.0000 0.5000 0.0000  2 N 2.69

***

Number 4 is which compound?
RbInTe2N

***

Look up the raw formation energy of the first one.
31.96 kJ per mole of atoms